(1)
The following is a DFT calculation (PBE) of a relaxed LiPuTc2N4 crystal.

Structure (POSCAR):
```
LiPuTc2N4
1.0
0.000 4.391 2.959
3.200 0.000 2.959
3.200 4.391 0.000
Li Pu Tc N
1 1 2 4
direct
0.000 0.000 0.000 Li
0.500 0.500 0.500 Pu
0.256 0.256 0.244 Tc
0.756 0.756 0.744 Tc
0.002 0.496 0.998 N
0.226 0.730 0.270 N
0.496 0.002 0.504 N
0.730 0.226 0.774 N
```

Calculated values
- E_tot (eV per atom) = -9.197
- raw formation energy (kJ per mole of atoms) = -40

(2)
The following is a DFT calculation (PBE) of a relaxed InNiHIr2 crystal.

Structure (POSCAR):
```
InNiHIr2
1.0
4.024 0.000 0.000
0.000 4.024 0.000
0.000 0.000 3.858
In Ni H Ir
1 1 1 2
direct
0.000 0.000 0.000 In
0.500 0.500 0.000 Ni
0.500 0.500 0.500 H
0.000 0.500 0.500 Ir
0.500 0.000 0.500 Ir
```

Calculated values
- E_tot (eV per atom) = -5.880

Which of these has the highest E_tot? InNiHIr2